Below is an optimized crystal structure of Hf2MnBW, with properties calculated at the GGA-PBE level.

The structure in extended XYZ format:
```
5
Lattice="5.051 0.000 0.000 0.000 4.403 0.000 0.000 0.000 5.051" Properties=species:S:1:pos:R:3 pbc="T T T"
Mn 0.000 2.202 0.000
Hf 2.526 0.000 0.000
Hf 0.000 0.000 2.526
W 0.000 0.000 0.000
B 2.526 2.202 2.526
```

Properties
The raw total energy is -7.92 eV/atom. For the volume, the calculation gives 22.5 A^3/atom. Its formation energy is 1.82 eV per atom.